i:
A geometry-optimized LiScTlCu structure, computed with PBE.

Unit cell a=4.576 b=4.576 c=4.576 alpha=60.00 beta=60.00 gamma=60.00
Element x y z (fractional)
Li 0.000 0.000 0.000
Sc 0.750 0.750 0.750
Tl 0.250 0.250 0.250
Cu 0.500 0.500 0.500

Computed properties:
magnetic moment	0.00	μB per formula unit



ii:
A geometry-optimized LiScTlCu structure, computed with PBE.

Unit cell a=4.642 b=4.642 c=4.642 alpha=60.00 beta=60.00 gamma=60.00
Element x y z (fractional)
Li 0.000 0.000 0.000
Sc 0.250 0.250 0.250
Tl 0.500 0.500 0.500
Cu 0.750 0.750 0.750

Computed properties:
magnetic moment	0.00	μB per formula unit



i wins, 0.121 eV/atom ahead of the next structure.



i:
A geometry-optimized LiCuSnSe3 structure, computed with PBE.

Unit cell a=7.537 b=3.881 c=9.040 alpha=90.00 beta=99.35 gamma=90.00
Element x y z (fractional)
Li 0.249 0.250 0.177
Li 0.751 0.750 0.823
Cu 0.442 0.250 0.920
Cu 0.558 0.750 0.080
Sn 0.186 0.750 0.651
Sn 0.814 0.250 0.349
Se 0.089 0.750 0.343
Se 0.240 0.750 0.962
Se 0.437 0.250 0.650
Se 0.563 0.750 0.350
Se 0.760 0.250 0.038
Se 0.911 0.250 0.657



ii:
A geometry-optimized LiCuSnSe3 structure, computed with PBE.

Unit cell a=6.530 b=6.530 c=10.865 alpha=90.00 beta=90.00 gamma=146.41
Element x y z (fractional)
Li 0.236 0.764 0.750
Li 0.764 0.236 0.250
Cu 0.466 0.534 0.250
Cu 0.534 0.466 0.750
Sn 0.000 0.000 0.000
Sn 0.000 0.000 0.500
Se 0.092 0.908 0.250
Se 0.352 0.648 0.068
Se 0.352 0.648 0.432
Se 0.648 0.352 0.568
Se 0.648 0.352 0.932
Se 0.908 0.092 0.750



i wins, 0.052 eV/atom ahead of the next structure.



i:
A geometry-optimized LiCuTcSe3 structure, computed with PBE.

Unit cell a=7.156 b=3.594 c=8.924 alpha=90.00 beta=103.39 gamma=90.00
Element x y z (fractional)
Li 0.221 0.250 0.203
Li 0.779 0.750 0.797
Cu 0.423 0.250 0.897
Cu 0.577 0.750 0.103
Tc 0.183 0.750 0.680
Tc 0.817 0.250 0.320
Se 0.077 0.750 0.377
Se 0.224 0.750 0.970
Se 0.414 0.250 0.635
Se 0.586 0.750 0.365
Se 0.776 0.250 0.030
Se 0.923 0.250 0.623

Computed properties:
magnetic moment	0.32	μB per formula unit



ii:
A geometry-optimized LiCuTcSe3 structure, computed with PBE.

Unit cell a=9.639 b=3.609 c=12.639 alpha=90.00 beta=90.00 gamma=90.00
Element x y z (fractional)
Li 0.237 0.250 0.027
Li 0.263 0.750 0.527
Li 0.737 0.250 0.473
Li 0.763 0.750 0.973
Cu 0.243 0.750 0.217
Cu 0.257 0.250 0.717
Cu 0.743 0.750 0.283
Cu 0.757 0.250 0.783
Tc 0.007 0.750 0.747
Tc 0.493 0.250 0.247
Tc 0.507 0.750 0.753
Tc 0.993 0.250 0.253
Se 0.039 0.750 0.111
Se 0.057 0.250 0.607
Se 0.243 0.250 0.343
Se 0.257 0.750 0.843
Se 0.443 0.750 0.107
Se 0.461 0.250 0.611
Se 0.539 0.750 0.389
Se 0.557 0.250 0.893
Se 0.743 0.250 0.157
Se 0.757 0.750 0.657
Se 0.943 0.750 0.393
Se 0.961 0.250 0.889

Computed properties:
magnetic moment	1.99	μB per formula unit



i wins, 0.044 eV/atom ahead of the next structure.